The following is a PBE with a Hubbard U calculation of Rb3PaV2O8 after structural relaxation, from Alexandria.

Calculated values
**Calculated density**: 4.546 g/cm3
**Total magnetic moment**: 0.14 μB/atom
**Raw total energy**: -7.08 eV per atom

a b c (Å): 6.109 6.109 8.108
angles (deg): 90.00 90.00 120.00
Site moments in Bohr magnetons follow the coordinates.
Fractional coordinates of all 14 atoms:
O (0.831, 0.661, 0.657)  -0.04
Rb (0.000, 0.000, 0.000)  0.00
O (0.339, 0.169, 0.657)  -0.04
O (0.333, 0.667, 0.049)  -0.07
O (0.667, 0.333, 0.951)  -0.07
Pa (0.000, 0.000, 0.500)  0.25
O (0.661, 0.831, 0.343)  -0.04
Rb (0.333, 0.667, 0.712)  0.00
O (0.169, 0.831, 0.343)  -0.04
O (0.169, 0.339, 0.343)  -0.04
V (0.333, 0.667, 0.259)  1.01
O (0.831, 0.169, 0.657)  -0.04
V (0.667, 0.333, 0.741)  1.01
Rb (0.667, 0.333, 0.288)  0.00